## CuAs2Au (GGA-PBEsol)

Data for a geometry-optimized CuAs2Au structure.

total magnetization	0.00	μB per cell
formation energy from the elements	0.221	eV/atom
D(E_F)	2.90	states/eV per cell

Lattice parameters (Å, degrees): 5.368 7.049 3.506 90.00 90.00 90.00
Space group Cmmm (No. 65)
Inequivalent atoms, fractional coordinates:
Cu 0.000 0.000 0.000 x2
As 0.250 0.250 0.500 x4
Au 0.000 0.500 0.000 x2